FeSnF4: relaxed, GGA+U.

**VASP energy**: -4.856 eV per atom

Geometry as POSCAR:
```
FeSnF4
1.0
0.000 4.899 4.899
4.899 0.000 4.899
4.899 4.899 0.000
Fe Sn F
2 2 8
Cartesian
1.225 1.225 1.225
8.573 8.573 8.573
3.674 3.674 3.674
6.123 6.123 6.123
7.429 4.818 4.818
2.368 2.368 2.368
4.980 4.980 2.368
4.980 2.368 4.980
4.818 7.429 4.818
4.818 4.818 7.429
7.429 7.429 7.429
2.368 4.980 4.980
```